Record 1
Below is AsSe2Br after structural relaxation, with properties calculated at the PBE level.

extended XYZ file:
```
4
Lattice="9.117 0.085 0.051 8.366 3.625 0.051 8.366 1.775 3.161" Properties=species:S:1:pos:R:3 pbc="T T T"
Se 25.430 5.396 3.209
As 13.193 2.800 1.665
Br 19.901 4.223 2.511
Se 6.098 1.294 0.770
```

DOS(E_F) ... 4.2 states/eV/f.u.
Uncorrected formation energy ... 0.23 eV per atom
Symmetry ... R3m, No. 160
Distance to the lowest polymorph of the same formula ... 0.3772 eV per atom

=====

Record 2
Below is Ba3LaBe after structural relaxation, with properties calculated at the PBE level.

extended XYZ file:
```
5
Lattice="-1.162 2.766 -5.486 1.478 -5.293 -2.982 -5.963 -1.852 0.330" Properties=species:S:1:pos:R:3 pbc="T T T"
Ba 0.739 -2.647 -1.491
Ba -0.581 1.383 -2.743
Be 0.000 0.000 0.000
La -2.824 -2.189 -4.069
Ba -2.982 -0.926 0.165
```

DOS(E_F) ... 11.6 states/eV/f.u.
E_form ... 0.52 eV per atom
Symmetry ... Pm-3m, No. 221
Distance to the lowest polymorph of the same formula ... 0.0000 eV per atom

=====

Record 3
Below is Be6Co5Rh after structural relaxation, with properties calculated at the PBE level.

extended XYZ file:
```
12
Lattice="3.548 0.003 -1.092 -0.579 4.905 -1.869 0.039 -0.385 6.437" Properties=species:S:1:pos:R:3 pbc="T T T"
Co 2.293 0.706 1.143
Co 1.010 1.372 3.287
Be 0.082 4.348 0.278
Be 1.347 3.619 -1.925
Be 2.926 0.175 3.199
Co -0.290 2.452 -0.935
Be 2.643 2.572 2.285
Be 1.622 1.289 -1.036
Rh 0.000 0.000 0.000
Be 0.365 1.951 1.191
Co 0.715 3.816 2.333
Co 1.998 3.151 0.189
```

DOS(E_F) ... 11.5 states/eV/f.u.
E_form ... -0.35 eV per atom
Symmetry ... Immm, No. 71

=====

Record 4
Below is LiCo2AsH after structural relaxation, with properties calculated at the PBE level.

extended XYZ file:
```
5
Lattice="-1.092 -3.854 2.071 2.378 0.644 2.452 -3.102 2.187 2.434" Properties=species:S:1:pos:R:3 pbc="T T T"
H 1.189 0.322 1.226
Co -1.551 1.093 1.217
Co -0.546 -1.927 1.035
Li -0.908 -0.512 3.479
As 0.000 0.000 0.000
```

DOS(E_F) ... 3.0 states/eV/f.u.
Symmetry ... P4/mmm, No. 123
Distance to the lowest polymorph of the same formula ... 0.7801 eV per atom

=====

Record 5
Below is Na3Cl after structural relaxation, with properties calculated at the PBE level.

extended XYZ file:
```
4
Lattice="3.645 0.000 0.000 0.000 3.730 0.000 0.000 0.000 9.611" Properties=species:S:1:pos:R:3 pbc="T T T"
Cl 0.000 0.000 9.560
Na 0.000 1.865 4.538
Na 1.823 0.000 7.269
Na 1.823 1.865 1.059
```

DOS(E_F) ... 1.1 states/eV/f.u.
Uncorrected formation energy ... -0.77 eV per atom
Symmetry ... Pmm2, No. 25
Distance to the lowest polymorph of the same formula ... 0.0000 eV per atom

=====

Record 6
Below is BaCaLa2Mn after structural relaxation, with properties calculated at the PBE level.

extended XYZ file:
```
5
Lattice="-5.147 1.001 -1.736 -1.780 -0.087 5.228 1.022 6.031 0.449" Properties=species:S:1:pos:R:3 pbc="T T T"
La -0.890 -0.044 2.614
Ba -2.953 3.473 1.970
Mn 0.000 0.000 0.000
La -2.573 0.501 -0.868
Ca 0.511 3.016 0.224
```

DOS(E_F) ... 7.1 states/eV/f.u.
E_form ... 0.22 eV per atom
Symmetry ... P4/mmm, No. 123

=====

Here are the calculated total energy numbers, same order: -3.098, -2.365, -5.785, -4.263, -2.223, -4.375 (eV/atom).
Here are the calculated magnetic moment numbers, same order: 0.4, 0.0, 2.6, 2.9, 0.0, 1.4 (μB/f.u.).